1.
## TmCuPd14 (PBE-GGA)

Data for a relaxed structure of TmCuPd14.

a = 5.623 Å, b = 5.623 Å, c = 7.970 Å
α = 90.00°, β = 90.00°, γ = 90.01°
Atoms (fractional coordinates):
Cu  0.375  0.375  0.500
Pd  0.622  0.128  0.750
Pd  0.375  0.875  0.000
Pd  0.128  0.128  0.250
Pd  0.375  0.875  0.500
Pd  0.875  0.375  0.500
Pd  0.622  0.128  0.250
Pd  0.622  0.622  0.750
Pd  0.875  0.375  0.000
Tm  0.875  0.875  0.500
Pd  0.622  0.622  0.250
Pd  0.128  0.622  0.250
Pd  0.128  0.128  0.750
Pd  0.375  0.375  0.000
Pd  0.128  0.622  0.750
Pd  0.875  0.875  0.000

Output
- DOS(E_F) (states/eV per atom) = 1.8153
- energy relative to the elements (eV per atom) = -0.219
- calculated total energy (eV per atom) = -5.298



2.
## Tm8Cu2Pd (PBE-GGA)

Data for a relaxed structure of Tm8Cu2Pd.

a = 5.681 Å, b = 7.664 Å, c = 7.664 Å
α = 114.93°, β = 100.33°, γ = 100.33°
Atoms (fractional coordinates):
Tm  0.377  0.662  0.915
Tm  0.591  0.342  0.089
Tm  0.377  0.915  0.662
Pd  0.119  0.004  0.004
Tm  0.989  0.216  0.790
Cu  0.493  0.309  0.700
Tm  0.989  0.790  0.216
Tm  0.591  0.089  0.342
Cu  0.493  0.700  0.309
Tm  0.802  0.633  0.633
Tm  0.178  0.373  0.373

Output
- offset from the most stable computed form (eV per atom) = 0.1135
- DOS(E_F) (states/eV per atom) = 1.2653
- energy relative to the elements (eV per atom) = -0.136
- calculated total energy (eV per atom) = -4.605



3.
## Tm2Cu15Pd2 (PBE-GGA)

Data for a relaxed structure of Tm2Cu15Pd2.

a = 6.477 Å, b = 6.477 Å, c = 6.477 Å
α = 83.29°, β = 83.29°, γ = 83.29°
Atoms (fractional coordinates):
Cu  0.299  0.000  0.701
Tm  0.337  0.337  0.337
Cu  0.351  0.842  0.351
Pd  0.107  0.107  0.107
Cu  0.158  0.649  0.649
Cu  0.649  0.649  0.158
Cu  0.649  0.158  0.649
Cu  0.500  0.000  0.000
Cu  0.701  0.299  0.000
Cu  0.000  0.000  0.500
Cu  0.842  0.351  0.351
Cu  0.000  0.299  0.701
Cu  0.351  0.351  0.842
Cu  0.000  0.500  0.000
Cu  0.000  0.701  0.299
Pd  0.893  0.893  0.893
Tm  0.663  0.663  0.663
Cu  0.701  0.000  0.299
Cu  0.299  0.701  0.000

Output
- DOS(E_F) (states/eV per atom) = 0.4547
- energy relative to the elements (eV per atom) = -0.186
- calculated total energy (eV per atom) = -4.437



4.
## Tm2CuPd (PBE-GGA)

Data for a relaxed structure of Tm2CuPd.

a = 4.526 Å, b = 5.456 Å, c = 7.286 Å
α = 109.48°, β = 90.00°, γ = 90.00°
Atoms (fractional coordinates):
Tm  0.750  0.221  0.430
Cu  0.250  0.342  0.708
Pd  0.750  0.660  0.787
Tm  0.250  0.779  0.570
Tm  0.750  0.222  0.931
Tm  0.250  0.778  0.069
Pd  0.250  0.340  0.213
Cu  0.750  0.658  0.292

Output
- DOS(E_F) (states/eV per atom) = 0.4517
- energy relative to the elements (eV per atom) = -0.641
- calculated total energy (eV per atom) = -5.199



5.
## Tm2CuPd (PBE-GGA)

Data for a relaxed structure of Tm2CuPd.

a = 4.872 Å, b = 4.871 Å, c = 4.872 Å
α = 59.99°, β = 59.99°, γ = 60.00°
Atoms (fractional coordinates):
Pd  0.750  0.751  0.750
Tm  0.500  0.500  0.500
Tm  0.000  0.000  0.000
Cu  0.250  0.249  0.250

Output
- DOS(E_F) (states/eV per atom) = 0.8116
- energy relative to the elements (eV per atom) = -0.622
- calculated total energy (eV per atom) = -5.180



6.
## Tm5Cu4Pd (PBE-GGA)

Data for a relaxed structure of Tm5Cu4Pd.

a = 3.408 Å, b = 3.408 Å, c = 17.372 Å
α = 90.00°, β = 90.00°, γ = 90.00°
Atoms (fractional coordinates):
Cu  0.000  0.000  0.798
Tm  0.500  0.500  0.899
Tm  0.500  0.500  0.300
Pd  0.000  0.000  0.000
Tm  0.500  0.500  0.700
Tm  0.500  0.500  0.500
Cu  0.000  0.000  0.599
Tm  0.500  0.500  0.101
Cu  0.000  0.000  0.401
Cu  0.000  0.000  0.202

Output
- DOS(E_F) (states/eV per atom) = 0.4127
- energy relative to the elements (eV per atom) = -0.423
- calculated total energy (eV per atom) = -4.816



7.
## Tm5Cu2Pd (PBE-GGA)

Data for a relaxed structure of Tm5Cu2Pd.

a = 7.008 Å, b = 7.008 Å, c = 9.023 Å
α = 112.85°, β = 112.85°, γ = 90.00°
Atoms (fractional coordinates):
Cu  0.876  0.624  0.000
Tm  0.022  0.522  0.702
Pd  0.750  0.750  0.500
Tm  0.500  0.500  0.000
Tm  0.522  0.680  0.702
Tm  0.000  0.000  0.000
Cu  0.624  0.124  0.000
Tm  0.820  0.978  0.298
Tm  0.180  0.022  0.702
Cu  0.124  0.376  0.000
Tm  0.680  0.180  0.702
Tm  0.978  0.478  0.298
Tm  0.478  0.320  0.298
Cu  0.376  0.876  0.000
Tm  0.320  0.820  0.298
Pd  0.250  0.250  0.500

Output
- DOS(E_F) (states/eV per atom) = 1.2307
- energy relative to the elements (eV per atom) = -0.367
- calculated total energy (eV per atom) = -4.835



8.
## TmCu5Pd7 (PBE-GGA)

Data for a relaxed structure of TmCu5Pd7.

a = 5.009 Å, b = 6.719 Å, c = 6.719 Å
α = 80.99°, β = 68.11°, γ = 68.11°
Atoms (fractional coordinates):
Cu  0.732  0.768  0.768
Pd  0.504  0.796  0.195
Cu  0.000  0.996  0.503
Pd  0.344  0.656  0.656
Pd  0.998  0.344  0.660
Cu  0.501  0.996  0.503
Cu  0.000  0.503  0.996
Cu  0.501  0.503  0.996
Pd  0.504  0.195  0.796
Pd  0.998  0.660  0.344
Tm  0.994  0.006  0.006
Pd  0.650  0.350  0.350
Pd  0.273  0.227  0.227

Output
- DOS(E_F) (states/eV per atom) = 0.3549
- energy relative to the elements (eV per atom) = -0.328
- calculated total energy (eV per atom) = -5.044



9.
## Tm3Cu3Pd (PBE-GGA)

Data for a relaxed structure of Tm3Cu3Pd.

a = 4.290 Å, b = 3.597 Å, c = 9.516 Å
α = 100.89°, β = 103.03°, γ = 90.00°
Atoms (fractional coordinates):
Tm  0.000  0.000  0.000
Tm  0.687  0.187  0.374
Tm  0.315  0.815  0.629
Cu  0.852  0.352  0.703
Cu  0.571  0.571  0.141
Pd  0.434  0.434  0.868
Cu  0.142  0.642  0.284

Output
- DOS(E_F) (states/eV per atom) = 0.6832
- energy relative to the elements (eV per atom) = -0.416
- calculated total energy (eV per atom) = -4.830



10.
## Tm8CuPd2 (PBE-GGA)

Data for a relaxed structure of Tm8CuPd2.

a = 5.738 Å, b = 7.800 Å, c = 7.800 Å
α = 116.89°, β = 100.78°, γ = 100.78°
Atoms (fractional coordinates):
Pd  0.499  0.310  0.709
Pd  0.499  0.709  0.310
Tm  0.985  0.793  0.205
Tm  0.985  0.205  0.793
Tm  0.366  0.657  0.909
Tm  0.797  0.639  0.639
Tm  0.366  0.909  0.657
Tm  0.587  0.346  0.096
Cu  0.153  0.002  0.002
Tm  0.174  0.368  0.368
Tm  0.587  0.096  0.346

Output
- offset from the most stable computed form (eV per atom) = 0.1128
- DOS(E_F) (states/eV per atom) = 1.2258
- energy relative to the elements (eV per atom) = -0.259
- calculated total energy (eV per atom) = -4.828



11.
## Tm8CuPd2 (PBE-GGA)

Data for a relaxed structure of Tm8CuPd2.

a = 4.996 Å, b = 6.668 Å, c = 8.970 Å
α = 104.56°, β = 106.17°, γ = 90.00°
Atoms (fractional coordinates):
Tm  0.203  0.323  0.406
Tm  0.666  0.977  0.332
Pd  0.188  0.727  0.376
Tm  0.032  0.781  0.064
Tm  0.968  0.219  0.936
Cu  0.500  0.000  0.000
Tm  0.591  0.456  0.183
Tm  0.334  0.023  0.668
Tm  0.797  0.677  0.594
Tm  0.409  0.544  0.817
Pd  0.812  0.273  0.624

Output
- offset from the most stable computed form (eV per atom) = 0.0000
- DOS(E_F) (states/eV per atom) = 1.1379
- energy relative to the elements (eV per atom) = -0.372
- calculated total energy (eV per atom) = -4.940



12.
## Tm3CuPd2 (PBE-GGA)

Data for a relaxed structure of Tm3CuPd2.

a = 4.878 Å, b = 4.878 Å, c = 11.980 Å
α = 90.00°, β = 90.00°, γ = 120.00°
Atoms (fractional coordinates):
Tm  0.000  0.000  0.251
Tm  0.667  0.333  0.084
Cu  0.667  0.333  0.334
Cu  0.333  0.667  0.666
Pd  0.667  0.333  0.832
Pd  0.000  0.000  0.500
Tm  0.667  0.333  0.583
Pd  0.333  0.667  0.168
Pd  0.000  0.000  0.000
Tm  0.333  0.667  0.417
Tm  0.000  0.000  0.749
Tm  0.333  0.667  0.916

Output
- DOS(E_F) (states/eV per atom) = 0.6945
- energy relative to the elements (eV per atom) = -0.722
- calculated total energy (eV per atom) = -5.371



Copy entry 4 word for word.
## Tm2CuPd (PBE-GGA)

Data for a relaxed structure of Tm2CuPd.

a = 4.526 Å, b = 5.456 Å, c = 7.286 Å
α = 109.48°, β = 90.00°, γ = 90.00°
Atoms (fractional coordinates):
Tm  0.750  0.221  0.430
Cu  0.250  0.342  0.708
Pd  0.750  0.660  0.787
Tm  0.250  0.779  0.570
Tm  0.750  0.222  0.931
Tm  0.250  0.778  0.069
Pd  0.250  0.340  0.213
Cu  0.750  0.658  0.292

Output
- DOS(E_F) (states/eV per atom) = 0.4517
- energy relative to the elements (eV per atom) = -0.641
- calculated total energy (eV per atom) = -5.199